1.
{
  "formula": "Ac6SbAs3S2",
  "functional": "PBE",
  "state": "optimized geometry",
  "lattice": [[-2.6224, 3.6857, -0.2408], [-3.3984, -1.8850, 8.1591], [9.1011, 3.8333, 2.1658]],
  "species": ["Ac", "As", "S", "As", "As", "Ac", "Ac", "Ac", "Ac", "Sb", "S", "Ac"],
  "frac_coords": [[0.3291, 0.9160, 0.6581], [0.8341, 0.1704, 0.6682], [0.1698, 0.3374, 0.3396], [0.5000, 0.5000, 0.0000], [0.1659, 0.8296, 0.3318], [0.6709, 0.0840, 0.3419], [0.0012, 0.2615, 0.0023], [0.6667, 0.5834, 0.3333], [0.9988, 0.7385, 0.9977], [0.5000, 0.0000, 0.0000], [0.8302, 0.6626, 0.6604], [0.3333, 0.4166, 0.6667]],
  "formation_energy_uncorrected_mev_per_atom": -1620,
  "e_tot_ev_per_cell": -70.422,
  "total_magnetization_mub_per_cell": 0.000
}


2.
{
  "formula": "NaLaDy2Te4",
  "functional": "PBE",
  "state": "optimized geometry",
  "lattice": [[4.4106, 0.0000, 0.0000], [0.0000, 7.6913, 0.1647], [0.0000, -2.6860, 7.3452]],
  "species": ["Te", "Na", "Te", "La", "Dy", "Te", "Te", "Dy"],
  "frac_coords": [[0.5000, 0.2512, 0.2620], [0.0000, 0.0000, 0.0000], [0.0000, 0.2411, 0.7373], [0.5000, 0.5000, 0.0000], [0.5000, 0.0000, 0.5000], [0.0000, 0.7589, 0.2627], [0.5000, 0.7488, 0.7380], [0.0000, 0.5000, 0.5000]],
  "formation_energy_uncorrected_mev_per_atom": -1380,
  "e_tot_ev_per_cell": -39.055,
  "total_magnetization_mub_per_cell": 0.000
}


3.
{
  "formula": "CrSiPb2",
  "functional": "PBE",
  "state": "optimized geometry",
  "lattice": [[3.7863, 0.0000, 0.0000], [0.0000, 3.7863, 0.0000], [0.0000, 0.0000, 6.4992]],
  "species": ["Cr", "Pb", "Pb", "Si"],
  "frac_coords": [[0.5000, 0.5000, 0.7500], [0.0000, 0.0000, 0.4953], [0.0000, 0.0000, 0.0047], [0.5000, 0.5000, 0.2500]],
  "formation_energy_uncorrected_mev_per_atom": 610,
  "e_tot_ev_per_cell": -20.022,
  "total_magnetization_mub_per_cell": 4.156
}


4.
{
  "formula": "Te3Br2",
  "functional": "PBE",
  "state": "optimized geometry",
  "lattice": [[0.0000, 9.5573, 10.8807], [1.7322, 0.0000, 10.8807], [1.7322, 9.5573, 0.0000]],
  "species": ["Te", "Te", "Te", "Te", "Br", "Te", "Br", "Te", "Br", "Br"],
  "frac_coords": [[0.7807, 0.9668, 0.1066], [0.2120, 0.2880, 0.2880], [0.9620, 0.0380, 0.0380], [0.1434, 0.1041, 0.4693], [0.0531, 0.0687, 0.3199], [0.2832, 0.4693, 0.1041], [0.5583, 0.3199, 0.0687], [0.1459, 0.1066, 0.9668], [0.9301, 0.6917, 0.1969], [0.1813, 0.1969, 0.6917]],
  "formation_energy_uncorrected_mev_per_atom": -16,
  "e_tot_ev_per_cell": -25.706,
  "total_magnetization_mub_per_cell": 0.000
}